*A*
# TlRuS2Cl GGA-PBE optimized geometry
data_TlRuS2Cl
_space_group_name_H-M_alt 'P 4/m m m'
_space_group_IT_number 123
_space_group_name_Hall '-P 4 2'
_cell_length_a 4.6117
_cell_length_b 4.6117
_cell_length_c 5.2471
_cell_angle_alpha 90.00
_cell_angle_beta 90.00
_cell_angle_gamma 90.00
loop_
_atom_site_label
_atom_site_type_symbol
_atom_site_fract_x
_atom_site_fract_y
_atom_site_fract_z
Tl1 Tl 0.0000 0.0000 0.0000
Ru1 Ru 0.5000 0.5000 0.5000
S1 S 0.0000 0.5000 0.5000
Cl1 Cl 0.5000 0.5000 0.0000
# Density of states at the Fermi level = 3.4 states/eV per cell

*B*
# TlRuS2Cl GGA-PBE optimized geometry
data_TlRuS2Cl
_space_group_name_H-M_alt 'P 4/m m m'
_space_group_IT_number 123
_space_group_name_Hall '-P 4 2'
_cell_length_a 5.1044
_cell_length_b 5.1044
_cell_length_c 5.2264
_cell_angle_alpha 90.00
_cell_angle_beta 90.00
_cell_angle_gamma 90.00
loop_
_atom_site_label
_atom_site_type_symbol
_atom_site_fract_x
_atom_site_fract_y
_atom_site_fract_z
Tl1 Tl 0.0000 0.0000 0.0000
Ru1 Ru 0.5000 0.5000 0.5000
S1 S 0.0000 0.5000 0.0000
Cl1 Cl 0.0000 0.0000 0.5000
# Density of states at the Fermi level = 6.3 states/eV per cell

*A* wins, 1241 meV/atom ahead of the next structure.

*A*
# TlRuSCl2 GGA-PBE optimized geometry
data_TlRuSCl2
_space_group_name_H-M_alt 'P 4/m m m'
_space_group_IT_number 123
_space_group_name_Hall '-P 4 2'
_cell_length_a 5.1344
_cell_length_b 5.1344
_cell_length_c 4.4249
_cell_angle_alpha 90.00
_cell_angle_beta 90.00
_cell_angle_gamma 90.00
loop_
_atom_site_label
_atom_site_type_symbol
_atom_site_fract_x
_atom_site_fract_y
_atom_site_fract_z
Tl1 Tl 0.0000 0.0000 0.0000
Ru1 Ru 0.5000 0.5000 0.5000
S1 S 0.5000 0.5000 0.0000
Cl1 Cl 0.0000 0.5000 0.5000
# Density of states at the Fermi level = 3.0 states/eV per cell

*B*
# TlRuSCl2 GGA-PBE optimized geometry
data_TlRuSCl2
_space_group_name_H-M_alt 'P 4/m m m'
_space_group_IT_number 123
_space_group_name_Hall '-P 4 2'
_cell_length_a 5.2878
_cell_length_b 5.2878
_cell_length_c 5.1288
_cell_angle_alpha 90.00
_cell_angle_beta 90.00
_cell_angle_gamma 90.00
loop_
_atom_site_label
_atom_site_type_symbol
_atom_site_fract_x
_atom_site_fract_y
_atom_site_fract_z
Tl1 Tl 0.0000 0.0000 0.0000
Ru1 Ru 0.5000 0.5000 0.5000
S1 S 0.0000 0.0000 0.5000
Cl1 Cl 0.0000 0.5000 0.0000
# Density of states at the Fermi level = 6.1 states/eV per cell

*A* wins, 1131 meV/atom ahead of the next structure.

*A*
# VRuS2Cl GGA-PBE optimized geometry
data_VRuS2Cl
_space_group_name_H-M_alt 'P 4/m m m'
_space_group_IT_number 123
_space_group_name_Hall '-P 4 2'
_cell_length_a 4.5927
_cell_length_b 4.5927
_cell_length_c 4.7201
_cell_angle_alpha 90.00
_cell_angle_beta 90.00
_cell_angle_gamma 90.00
loop_
_atom_site_label
_atom_site_type_symbol
_atom_site_fract_x
_atom_site_fract_y
_atom_site_fract_z
V1 V 0.0000 0.0000 0.0000
Ru1 Ru 0.5000 0.5000 0.5000
S1 S 0.0000 0.5000 0.5000
Cl1 Cl 0.5000 0.5000 0.0000
# Density of states at the Fermi level = 10.2 states/eV per cell

*B*
# VRuS2Cl GGA-PBE optimized geometry
data_VRuS2Cl
_space_group_name_H-M_alt 'P 4/m m m'
_space_group_IT_number 123
_space_group_name_Hall '-P 4 2'
_cell_length_a 4.5707
_cell_length_b 4.5707
_cell_length_c 4.6287
_cell_angle_alpha 90.00
_cell_angle_beta 90.00
_cell_angle_gamma 90.00
loop_
_atom_site_label
_atom_site_type_symbol
_atom_site_fract_x
_atom_site_fract_y
_atom_site_fract_z
V1 V 0.0000 0.0000 0.0000
Ru1 Ru 0.5000 0.5000 0.5000
S1 S 0.0000 0.5000 0.0000
Cl1 Cl 0.0000 0.0000 0.5000
# Density of states at the Fermi level = 6.0 states/eV per cell

*B* wins, 230 meV/atom ahead of the next structure.